# 1
Computed, not measured: CrPO4 after structural relaxation at the PBE with a Hubbard U level of DFT.

abc: 4.7831 5.7278 9.8954
angles: 90.00 90.00 90.00
Last column: nearest neighbours and their distance in Å.
Fractional positions:
1 O 0.2636 0.0411 0.6655  1 P 1.59
2 O 0.3241 0.2500 0.9389  1 P 1.52
3 O 0.7961 0.2500 0.6130  1 P 1.52
4 O 0.8241 0.7500 0.5611  1 P 1.52
5 O 0.6759 0.7500 0.0611  1 P 1.52
6 O 0.2364 0.4589 0.1655  1 P 1.59
7 O 0.7364 0.5411 0.3345  1 P 1.59
8 O 0.2961 0.7500 0.8870  1 P 1.52
9 O 0.1759 0.2500 0.4389  1 P 1.52
10 O 0.2039 0.7500 0.3870  1 P 1.52
11 O 0.7039 0.2500 0.1130  1 P 1.52
12 O 0.7636 0.5411 0.8345  1 P 1.59
13 O 0.2364 0.0411 0.1655  1 P 1.59
14 O 0.7636 0.9589 0.8345  1 P 1.59
15 O 0.2636 0.4589 0.6655  1 P 1.59
16 O 0.7364 0.9589 0.3345  1 P 1.59
17 P 0.3900 0.2500 0.0891  4 O 1.52-1.59
18 P 0.6100 0.7500 0.9109  4 O 1.52-1.59
19 P 0.8900 0.7500 0.4109  4 O 1.52-1.59
20 P 0.1100 0.2500 0.5891  4 O 1.52-1.59
21 Cr 0.4504 0.7500 0.2295  6 O 1.95-2.09
22 Cr 0.9504 0.2500 0.2705  6 O 1.95-2.09
23 Cr 0.0496 0.7500 0.7295  6 O 1.95-2.09
24 Cr 0.5496 0.2500 0.7705  6 O 1.95-2.09

Calculated values
Raw total energy: -181.499 eV for the cell shown

# 2
Computed, not measured: CrP3O after structural relaxation at the PBE with a Hubbard U level of DFT.

abc: 4.1530 4.1530 4.1530
angles: 90.00 90.00 90.00
Last column: nearest neighbours and their distance in Å.
Fractional positions:
1 P 0.0000 0.0000 0.5000  2 O 2.08
2 P 0.0000 0.5000 0.0000  2 O 2.08
3 P 0.5000 0.0000 0.0000  2 O 2.08
4 O 0.0000 0.0000 0.0000  6 P 2.08
5 Cr 0.5000 0.5000 0.5000  12 P 2.94

Calculated values
Energy above the lowest structure with this stoichiometry: 0.0000 eV per atom

# 3
Computed, not measured: Cr6P7O24 after structural relaxation at the PBE with a Hubbard U level of DFT.

abc: 5.3506 6.4513 27.7826
angles: 90.00 90.00 106.78
Last column: nearest neighbours and their distance in Å.
Fractional positions:
1 Cr 0.7770 0.2987 0.4490  4 O 2.01-2.11
2 Cr 0.7770 0.2987 0.0510  4 O 2.01-2.11
3 Cr 0.8335 0.9395 0.5995  4 O 2.05-2.14
4 Cr 0.8149 0.6944 0.1863  5 O 2.02-2.24
5 Cr 0.8149 0.6944 0.3137  5 O 2.02-2.24
6 Cr 0.1665 0.0605 0.0995  4 O 2.05-2.14
7 Cr 0.2230 0.7013 0.5510  4 O 2.01-2.11
8 Cr 0.8335 0.9395 0.9005  4 O 2.05-2.14
9 Cr 0.1851 0.3056 0.6863  5 O 2.02-2.24
10 Cr 0.2230 0.7013 0.9490  4 O 2.01-2.11
11 Cr 0.1665 0.0605 0.4005  4 O 2.05-2.14
12 Cr 0.1851 0.3056 0.8137  5 O 2.02-2.24
13 O 0.5004 0.3968 0.6427  1 P 1.50
14 O 0.7990 0.6067 0.0343  1 P 1.51
15 O 0.3952 0.7268 0.4406  2 P 1.62-1.63
16 O 0.5742 0.9692 0.7949  2 P 1.58-1.64
17 O 0.8966 0.2581 0.8727  1 P 1.55
18 O 0.1167 0.3771 0.4062  1 P 1.55
19 O 0.1360 0.9832 0.8277  1 P 1.54
20 O 0.1988 0.6201 0.8059  1 P 1.51
21 O 0.5451 0.1637 0.1234  1 P 1.53
22 O 0.1034 0.7419 0.1273  1 P 1.55
23 O 0.1034 0.7419 0.3727  1 P 1.55
24 O 0.4258 0.0308 0.2949  2 P 1.58-1.64
25 O 0.5874 0.8230 0.5212  1 P 1.53
26 O 0.4126 0.1770 0.0212  1 P 1.53
27 O 0.8640 0.0168 0.1723  1 P 1.54
28 O 0.7990 0.6067 0.4657  1 P 1.51
29 O 0.8966 0.2581 0.6273  1 P 1.55
30 O 0.8449 0.9953 0.4471  1 P 1.55
31 O 0.8012 0.3799 0.3059  1 P 1.51
32 O 0.5660 0.7353 0.2500  1 P 1.54
33 O 0.2010 0.3933 0.5343  1 P 1.51
34 O 0.4126 0.1770 0.4788  1 P 1.53
35 O 0.1551 0.0047 0.9471  1 P 1.55
36 O 0.4340 0.2647 0.7500  1 P 1.54
37 O 0.4549 0.8363 0.8766  1 P 1.53
38 O 0.1551 0.0047 0.5529  1 P 1.55
39 O 0.0831 0.7593 0.2500  1 P 1.53
40 O 0.8833 0.6229 0.5938  1 P 1.55
41 O 0.6048 0.2732 0.5594  2 P 1.62-1.63
42 O 0.1988 0.6201 0.6941  1 P 1.51
43 O 0.4996 0.6032 0.1427  1 P 1.50
44 O 0.4996 0.6032 0.3573  1 P 1.50
45 O 0.8012 0.3799 0.1941  1 P 1.51
46 O 0.8449 0.9953 0.0529  1 P 1.55
47 O 0.2010 0.3933 0.9657  1 P 1.51
48 O 0.4549 0.8363 0.6234  1 P 1.53
49 O 0.6048 0.2732 0.9406  2 P 1.62-1.63
50 O 0.5004 0.3968 0.8573  1 P 1.50
51 O 0.1167 0.3771 0.0938  1 P 1.55
52 O 0.3952 0.7268 0.0594  2 P 1.62-1.63
53 O 0.5742 0.9692 0.7051  2 P 1.58-1.64
54 O 0.9169 0.2407 0.7500  1 P 1.53
55 O 0.4258 0.0308 0.2051  2 P 1.58-1.64
56 O 0.8833 0.6229 0.9062  1 P 1.55
57 O 0.5451 0.1637 0.3766  1 P 1.53
58 O 0.5874 0.8230 0.9788  1 P 1.53
59 O 0.1360 0.9832 0.6723  1 P 1.54
60 O 0.8640 0.0168 0.3277  1 P 1.54
61 P 0.7190 0.3937 0.6092  4 O 1.50-1.62
62 P 0.6693 0.7845 0.0299  4 O 1.51-1.63
63 P 0.3307 0.2155 0.5299  4 O 1.51-1.63
64 P 0.6779 0.1594 0.3279  4 O 1.51-1.64
65 P 0.6231 0.1251 0.7500  4 O 1.53-1.58
66 P 0.3307 0.2155 0.9701  4 O 1.51-1.63
67 P 0.3221 0.8406 0.6721  4 O 1.51-1.64
68 P 0.6693 0.7845 0.4701  4 O 1.51-1.63
69 P 0.2810 0.6063 0.3908  4 O 1.50-1.62
70 P 0.7190 0.3937 0.8908  4 O 1.50-1.62
71 P 0.6779 0.1594 0.1721  4 O 1.51-1.64
72 P 0.3769 0.8749 0.2500  4 O 1.53-1.58
73 P 0.3221 0.8406 0.8279  4 O 1.51-1.64
74 P 0.2810 0.6063 0.1092  4 O 1.50-1.62

Calculated values
Raw total energy: -558.571 eV for the cell shown

# 4
Computed, not measured: CrP3O9 after structural relaxation at the PBE with a Hubbard U level of DFT.

abc: 6.3247 8.4531 15.5161
angles: 90.00 90.00 105.92
Last column: nearest neighbours and their distance in Å.
Fractional positions:
1 O 0.0693 0.1318 0.8461  1 P 1.50
2 O 0.3698 0.7568 0.0141  2 P 1.61
3 O 0.9307 0.3682 0.3461  1 P 1.50
4 O 0.5332 0.3894 0.3485  2 P 1.61-1.62
5 O 0.5636 0.6027 0.1120  1 P 1.50
6 O 0.8369 0.0961 0.0756  2 P 1.60-1.61
7 O 0.5332 0.8894 0.1515  2 P 1.61-1.62
8 O 0.1867 0.9049 0.7621  1 P 1.49
9 O 0.6302 0.2432 0.9859  2 P 1.61
10 O 0.5636 0.1027 0.3880  1 P 1.50
11 O 0.8133 0.5951 0.2621  1 P 1.49
12 O 0.4668 0.1106 0.8485  2 P 1.61-1.62
13 O 0.4364 0.8973 0.6120  1 P 1.50
14 O 0.1867 0.4049 0.7379  1 P 1.49
15 O 0.0693 0.6318 0.6539  1 P 1.50
16 O 0.8021 0.3523 0.8407  1 P 1.50
17 O 0.9307 0.8682 0.1539  1 P 1.50
18 O 0.4668 0.6106 0.6515  2 P 1.61-1.62
19 O 0.6302 0.7432 0.5141  2 P 1.61
20 O 0.8369 0.5961 0.4244  2 P 1.60-1.61
21 O 0.0523 0.3360 0.9892  1 P 1.51
22 O 0.1979 0.1477 0.3407  1 P 1.50
23 O 0.4364 0.3973 0.8880  1 P 1.50
24 O 0.1745 0.6182 0.8798  1 P 1.50
25 O 0.1631 0.9039 0.9244  2 P 1.60-1.61
26 O 0.9477 0.1640 0.4892  1 P 1.51
27 O 0.8133 0.0951 0.2379  1 P 1.49
28 O 0.1631 0.4039 0.5756  2 P 1.60-1.61
29 O 0.8021 0.8523 0.6593  1 P 1.50
30 O 0.0523 0.8360 0.5108  1 P 1.51
31 O 0.1979 0.6477 0.1593  1 P 1.50
32 O 0.8255 0.3818 0.1202  1 P 1.50
33 O 0.9477 0.6640 0.0108  1 P 1.51
34 O 0.8255 0.8818 0.3798  1 P 1.50
35 O 0.1745 0.1182 0.6202  1 P 1.50
36 O 0.3698 0.2568 0.4859  2 P 1.61
37 P 0.5883 0.7888 0.6125  4 O 1.50-1.61
38 P 0.8495 0.2784 0.0441  4 O 1.50-1.61
39 P 0.1505 0.2216 0.5441  4 O 1.50-1.61
40 P 0.7909 0.9851 0.1614  4 O 1.49-1.62
41 P 0.1505 0.7216 0.9559  4 O 1.50-1.61
42 P 0.2091 0.5149 0.6614  4 O 1.49-1.62
43 P 0.2091 0.0149 0.8386  4 O 1.49-1.62
44 P 0.4117 0.2112 0.3875  4 O 1.50-1.61
45 P 0.7909 0.4851 0.3386  4 O 1.49-1.62
46 P 0.8495 0.7784 0.4559  4 O 1.50-1.61
47 P 0.5883 0.2888 0.8875  4 O 1.50-1.61
48 P 0.4117 0.7112 0.1125  4 O 1.50-1.61
49 Cr 0.8804 0.6258 0.1365  6 O 2.00-2.01
50 Cr 0.1196 0.8742 0.6365  6 O 2.00-2.01
51 Cr 0.1196 0.3742 0.8635  6 O 2.00-2.01
52 Cr 0.8804 0.1258 0.3635  6 O 2.00-2.01

Calculated values
Energy above the lowest structure with this stoichiometry: 0.0000 eV per atom

# 5
Computed, not measured: CrPO4 after structural relaxation at the PBE with a Hubbard U level of DFT.

abc: 4.7400 8.7097 6.4353
angles: 90.00 90.00 90.00
Last column: nearest neighbours and their distance in Å.
Fractional positions:
1 O 0.7937 0.1177 0.2500  1 P 1.59
2 O 0.5542 0.6419 0.7500  1 P 1.59
3 O 0.8366 0.3768 0.5498  1 P 1.52
4 O 0.8366 0.3768 0.9502  1 P 1.52
5 O 0.0542 0.8581 0.2500  1 P 1.59
6 O 0.6634 0.8768 0.9502  1 P 1.52
7 O 0.3366 0.1232 0.0498  1 P 1.52
8 O 0.1634 0.6232 0.4502  1 P 1.52
9 O 0.1634 0.6232 0.0498  1 P 1.52
10 O 0.2063 0.8823 0.7500  1 P 1.59
11 O 0.6634 0.8768 0.5498  1 P 1.52
12 O 0.3366 0.1232 0.4502  1 P 1.52
13 O 0.4458 0.3581 0.2500  1 P 1.59
14 O 0.2937 0.3823 0.7500  1 P 1.59
15 O 0.7063 0.6177 0.2500  1 P 1.59
16 O 0.9458 0.1419 0.7500  1 P 1.59
17 Cr 0.0000 0.0000 0.5000  6 O 1.95-2.14
18 Cr 0.5000 0.5000 0.0000  6 O 1.95-2.14
19 Cr 0.5000 0.5000 0.5000  6 O 1.95-2.14
20 Cr 0.0000 0.0000 0.0000  6 O 1.95-2.14
21 P 0.4769 0.1761 0.2500  4 O 1.52-1.59
22 P 0.0231 0.6761 0.2500  4 O 1.52-1.59
23 P 0.9770 0.3239 0.7500  4 O 1.52-1.59
24 P 0.5231 0.8239 0.7500  4 O 1.52-1.59

Calculated values
Raw total energy: -181.731 eV for the cell shown

# 6
Computed, not measured: CrP2O7 after structural relaxation at the PBE with a Hubbard U level of DFT.

abc: 6.3995 6.4622 7.2347
angles: 94.31 122.29 91.51
Last column: nearest neighbours and their distance in Å.
Fractional positions:
1 P 0.1710 0.8654 0.3102  4 O 1.49-1.62
2 P 0.3325 0.6221 0.6771  4 O 1.52-1.68
3 P 0.6675 0.3779 0.3229  4 O 1.52-1.68
4 P 0.8290 0.1346 0.6898  4 O 1.49-1.62
5 O 0.0255 0.0486 0.2164  1 P 1.49
6 O 0.9745 0.9514 0.7836  1 P 1.49
7 O 0.4634 0.9156 0.4069  1 O 1.52, 1 P 1.62
8 O 0.7362 0.5744 0.4817  1 P 1.53
9 O 0.3939 0.3061 0.2016  1 P 1.52
10 O 0.5366 0.0844 0.5931  1 O 1.52, 1 P 1.62
11 O 0.7606 0.3873 0.1695  1 P 1.52
12 O 0.1676 0.8035 0.5144  2 P 1.57-1.68
13 O 0.6061 0.6939 0.7984  1 P 1.52
14 O 0.1021 0.6705 0.1451  1 P 1.55
15 O 0.8324 0.1965 0.4856  2 P 1.57-1.68
16 O 0.2638 0.4256 0.5183  1 P 1.53
17 O 0.8979 0.3295 0.8549  1 P 1.55
18 O 0.2394 0.6127 0.8305  1 P 1.52
19 Cr 0.9136 0.6460 0.7971  6 O 1.94-2.13
20 Cr 0.0864 0.3540 0.2029  6 O 1.94-2.13

Calculated values
Energy above the lowest structure with this stoichiometry: 0.0324 eV per atom

# 7
Computed, not measured: Cr3PO after structural relaxation at the PBE with a Hubbard U level of DFT.

abc: 4.2553 4.2553 4.2553
angles: 90.00 90.00 90.00
Last column: nearest neighbours and their distance in Å.
Fractional positions:
1 Cr 0.5000 0.0000 0.0000  2 O 2.13
2 Cr 0.0000 0.0000 0.5000  2 O 2.13
3 Cr 0.0000 0.5000 0.0000  2 O 2.13
4 O 0.0000 0.0000 0.0000  6 Cr 2.13
5 P 0.5000 0.5000 0.5000  12 Cr 3.01

Calculated values
Energy above the lowest structure with this stoichiometry: 0.0000 eV per atom

# 8
Computed, not measured: Cr2P5O16 after structural relaxation at the PBE with a Hubbard U level of DFT.

abc: 6.7662 5.0837 18.9438
angles: 89.34 90.00 90.00
Last column: nearest neighbours and their distance in Å.
Fractional positions:
1 O 0.1484 0.1472 0.1953  1 P 1.50
2 O 0.2181 0.3284 0.9932  1 P 1.52
3 O 0.6956 0.2267 0.3664  2 P 1.59-1.62
4 O 0.8516 0.8528 0.8047  1 P 1.50
5 O 0.9526 0.0346 0.0722  1 P 1.54
6 O 0.6956 0.7733 0.1336  2 P 1.59-1.62
7 O 0.9526 0.9654 0.4278  1 P 1.54
8 O 0.4215 0.5493 0.3814  1 P 1.51
9 O 0.9828 0.5575 0.6099  1 P 1.51
10 O 0.2181 0.6716 0.5068  1 P 1.52
11 O 0.5840 0.7982 0.7132  2 P 1.61
12 O 0.7819 0.3284 0.4932  1 P 1.52
13 O 0.0172 0.4425 0.3901  1 P 1.51
14 O 0.5785 0.5493 0.8814  1 P 1.51
15 O 0.1484 0.8528 0.3047  1 P 1.50
16 O 0.4160 0.7982 0.2132  2 P 1.61
17 O 0.5785 0.4507 0.6186  1 P 1.51
18 O 0.5840 0.2018 0.7868  2 P 1.61
19 O 0.6353 0.0640 0.9165  1 P 1.50
20 O 0.3647 0.9360 0.0835  1 P 1.50
21 O 0.3647 0.0640 0.4165  1 P 1.50
22 O 0.3044 0.7733 0.6336  2 P 1.59-1.62
23 O 0.0474 0.0346 0.5722  1 P 1.54
24 O 0.3044 0.2267 0.8664  2 P 1.59-1.62
25 O 0.0474 0.9654 0.9278  1 P 1.54
26 O 0.7819 0.6716 0.0068  1 P 1.52
27 O 0.4160 0.2018 0.2868  2 P 1.61
28 O 0.4215 0.4507 0.1186  1 P 1.51
29 O 0.6353 0.9360 0.5835  1 P 1.50
30 O 0.0172 0.5575 0.1099  1 P 1.51
31 O 0.8516 0.1472 0.6953  1 P 1.50
32 O 0.9828 0.4425 0.8901  1 P 1.51
33 P 0.1257 0.2486 0.9233  4 O 1.51-1.62
34 P 0.8743 0.7514 0.0767  4 O 1.51-1.62
35 P 0.8743 0.2486 0.4233  4 O 1.51-1.62
36 P 0.1257 0.7514 0.5767  4 O 1.51-1.62
37 P 0.5371 0.2619 0.8684  4 O 1.50-1.61
38 P 0.4629 0.7381 0.1316  4 O 1.50-1.61
39 P 0.5371 0.7381 0.6316  4 O 1.50-1.61
40 P 0.2662 0.0000 0.2500  4 O 1.50-1.61
41 P 0.7338 0.0000 0.7500  4 O 1.50-1.61
42 P 0.4629 0.2619 0.3684  4 O 1.50-1.61
43 Cr 0.8155 0.2446 0.5933  6 O 1.94-2.00
44 Cr 0.8155 0.7554 0.9067  6 O 1.94-2.00
45 Cr 0.1845 0.7554 0.4067  6 O 1.94-2.00
46 Cr 0.1845 0.2446 0.0933  6 O 1.94-2.00

Calculated values
Raw total energy: -337.697 eV for the cell shown

| no. | total moment (μB/cell) |
| --- | --- |
| 1 | 12.0 |
| 2 | 3.1 |
| 3 | 46.0 |
| 4 | 12.0 |
| 5 | 12.0 |
| 6 | 6.0 |
| 7 | 13.0 |
| 8 | 10.0 |